(1)
The following is a PBE calculation of a relaxed structure of Ac3La2Zn3, from Alexandria.

Uncorrected energy in eV per atom: -3.44
E_form in eV per atom: -0.187
Fermi-level density of states in states/eV/atom: 1.20

Cell: 3.9164 5.6295 12.0517 Å, 103.51 99.35 90.00°
Closest atoms and distances in Å follow each position.
Sites, in units of the cell vectors:
1 Zn 0.0000 0.5000 0.0000  8 Ac 3.36-3.43
2 Zn 0.8800 0.8800 0.7599  2 La 3.21, 6 Ac 3.40-3.43
3 Zn 0.1200 0.1200 0.2401  2 La 3.21, 6 Ac 3.40-3.43
4 Ac 0.5000 0.0000 0.0000  8 Zn 3.40-3.43
5 Ac 0.3818 0.3818 0.7637  6 Zn 3.36-3.43
6 Ac 0.6182 0.6182 0.2363  6 Zn 3.36-3.43
7 La 0.2698 0.7698 0.5397  2 Zn 3.21, 4 La 3.55
8 La 0.7302 0.2302 0.4603  2 Zn 3.21, 4 La 3.55

=====

(2)
The following is a PBE calculation of a relaxed structure of Ac3La4Zn, from Alexandria.

Uncorrected energy in eV per atom: -4.23
E_form in eV per atom: -0.067
Fermi-level density of states in states/eV/atom: 1.54

Cell: 3.8501 3.8501 19.9899 Å, 90.00 90.00 90.00°
Closest atoms and distances in Å follow each position.
Sites, in units of the cell vectors:
1 La 0.0000 0.0000 0.6362  4 La 3.85, 8 Ac 3.85
2 La 0.0000 0.0000 0.0905  4 Zn 3.27, 1 La 3.62
3 La 0.0000 0.0000 0.9095  4 Zn 3.27, 1 La 3.62
4 La 0.0000 0.0000 0.3638  4 La 3.85, 8 Ac 3.85
5 Ac 0.5000 0.5000 0.5000  4 Ac 3.85, 8 La 3.85
6 Ac 0.5000 0.5000 0.7725  4 Ac 3.85, 8 La 3.85-3.86
7 Ac 0.5000 0.5000 0.2275  4 Ac 3.85, 8 La 3.85-3.86
8 Zn 0.5000 0.5000 0.0000  8 La 3.27

=====

(3)
The following is a PBE calculation of a relaxed structure of Ac5LaZn4, from Alexandria.

Uncorrected energy in eV per atom: -3.25
E_form in eV per atom: -0.193
Fermi-level density of states in states/eV/atom: 1.16

Cell: 3.9124 3.9124 21.0609 Å, 90.00 90.00 90.00°
Closest atoms and distances in Å follow each position.
Sites, in units of the cell vectors:
1 Zn 0.0000 0.0000 0.7796  8 Ac 3.36-3.41
2 Zn 0.0000 0.0000 0.4075  8 Ac 3.38-3.39
3 Zn 0.0000 0.0000 0.5925  8 Ac 3.38-3.39
4 Zn 0.0000 0.0000 0.2204  8 Ac 3.36-3.41
5 Ac 0.5000 0.5000 0.6853  8 Zn 3.39-3.41
6 Ac 0.5000 0.5000 0.3147  8 Zn 3.39-3.41
7 Ac 0.5000 0.5000 0.8701  4 Zn 3.36
8 Ac 0.5000 0.5000 0.1299  4 Zn 3.36
9 Ac 0.5000 0.5000 0.5000  8 Zn 3.38
10 La 0.0000 0.0000 0.0000  8 Ac 3.89, 4 La 3.91

=====

(4)
The following is a PBE calculation of a relaxed structure of AcLa2Zn, from Alexandria.

Uncorrected energy in eV per atom: -3.77
Relative energy among the computed polymorphs in eV/atom: 0.193
E_form in eV per atom: 0.043
Fermi-level density of states in states/eV/atom: 1.48

Cell: 3.8904 5.8540 5.8540 Å, 90.00 90.00 90.00°
Closest atoms and distances in Å follow each position.
Sites, in units of the cell vectors:
1 Ac 0.5000 0.5000 0.5000  8 La 3.51, 2 Ac 3.89
2 La 0.0000 0.0000 0.5000  4 Ac 3.51, 4 Zn 3.51, 2 La 3.89
3 La 0.0000 0.5000 0.0000  4 Zn 3.51, 4 Ac 3.51, 2 La 3.89
4 Zn 0.5000 0.0000 0.0000  8 La 3.51, 2 Zn 3.89

=====

(5)
The following is a PBE calculation of a relaxed structure of AcLa3Zn4, from Alexandria.

Uncorrected energy in eV per atom: -3.29
E_form in eV per atom: -0.290
Fermi-level density of states in states/eV/atom: 1.32

Cell: 3.8035 3.8035 15.1811 Å, 90.00 90.00 90.00°
Closest atoms and distances in Å follow each position.
Sites, in units of the cell vectors:
1 Zn 0.0000 0.0000 0.1355  4 La 3.24, 4 Ac 3.39
2 Zn 0.0000 0.0000 0.6235  8 La 3.26-3.28
3 Zn 0.0000 0.0000 0.8645  4 La 3.24, 4 Ac 3.39
4 Zn 0.0000 0.0000 0.3765  8 La 3.26-3.28
5 La 0.5000 0.5000 0.7450  8 Zn 3.24-3.26
6 La 0.5000 0.5000 0.2550  8 Zn 3.24-3.26
7 La 0.5000 0.5000 0.5000  8 Zn 3.28
8 Ac 0.5000 0.5000 0.0000  8 Zn 3.39

=====

(6)
The following is a PBE calculation of a relaxed structure of AcLaZn2, from Alexandria.

Uncorrected energy in eV per atom: -3.17
E_form in eV per atom: -0.275
Fermi-level density of states in states/eV/atom: 1.09

Cell: 3.8599 5.4067 5.4067 Å, 90.00 90.00 90.00°
Closest atoms and distances in Å follow each position.
Sites, in units of the cell vectors:
1 La 0.5000 0.0000 0.0000  8 Zn 3.32
2 Ac 0.5000 0.5000 0.5000  8 Zn 3.32
3 Zn 0.0000 0.0000 0.5000  4 Ac 3.32, 4 La 3.32
4 Zn 0.0000 0.5000 0.0000  4 Ac 3.32, 4 La 3.32